Entry from Alexandria: an optimized crystal structure of MnAgHgF6 (PBE with a Hubbard U).

Values from the calculation:
The magnetization comes out at 3.990 μB/f.u. Its volume is 15.6 A^3/atom. The final energy comes out at -4.21 eV/atom.

a b c (Å): 5.1430 5.1430 10.5876
angles (deg): 90.00 90.00 90.00
Site moments in Bohr magnetons follow the coordinates.
Fractional positions:
1 Mn 0.5000 0.5000 0.8331  4.00
2 Mn 0.0000 0.0000 0.3331  4.00
3 Ag 0.5000 0.5000 0.4953  -0.11
4 Ag 0.0000 0.0000 0.9953  -0.11
5 Hg 0.5000 0.5000 0.1669  0.01
6 Hg 0.0000 0.0000 0.6669  0.01
7 F 0.1839 0.8161 0.4803  0.00
8 F 0.8161 0.1839 0.4803  0.00
9 F 0.3161 0.3161 0.9803  0.00
10 F 0.6839 0.6839 0.9803  0.00
11 F 0.1924 0.8076 0.1909  0.01
12 F 0.8076 0.1924 0.1909  0.01
13 F 0.3076 0.3076 0.6909  0.01
14 F 0.6924 0.6924 0.6909  0.01
15 F 0.7597 0.2403 0.8311  -0.03
16 F 0.2403 0.7597 0.8311  -0.03
17 F 0.7403 0.7403 0.3311  -0.03
18 F 0.2597 0.2597 0.3311  -0.03